No. 1
An optimized crystal structure of CeMgCl5, computed with GGA-PBE.

Properties
DOS at the Fermi energy	1.135	states/eV per atom
SG	No. 15

a = 7.0165 Å, b = 7.0165 Å, c = 9.4513 Å
α = 70.44°, β = 70.44°, γ = 71.95°
With the nearest neighbours (Å) after each atom.
Fractional positions:
Ce: 0.5615 0.4385 0.2500  7 Cl 2.69-2.98
Ce: 0.4385 0.5615 0.7500  7 Cl 2.69-2.98
Cl: 0.0894 0.9106 0.7500  2 Mg 2.48
Cl: 0.7127 0.3229 0.5332  1 Mg 2.55
Cl: 0.6771 0.2873 0.9668  1 Mg 2.55
Cl: 0.2727 0.2097 0.3721  1 Mg 2.51, 1 Ce 2.69
Cl: 0.9106 0.0894 0.2500  2 Mg 2.48
Cl: 0.2097 0.2727 0.8721  1 Mg 2.51, 1 Ce 2.69
Cl: 0.7903 0.7273 0.1279  1 Mg 2.51, 1 Ce 2.69
Cl: 0.7273 0.7903 0.6279  1 Mg 2.51, 1 Ce 2.69
Cl: 0.2873 0.6771 0.4668  1 Mg 2.55
Cl: 0.3229 0.7127 0.0332  1 Mg 2.55
Mg: 0.0000 0.0000 0.0000  6 Cl 2.48-2.55
Mg: 0.0000 0.0000 0.5000  6 Cl 2.48-2.55

No. 2
An optimized crystal structure of CeMgCl4, computed with GGA-PBE.

Properties
DOS at the Fermi energy	1.236	states/eV per atom
SG	No. 14

a = 6.1066 Å, b = 7.2170 Å, c = 7.9220 Å
α = 112.23°, β = 90.00°, γ = 90.00°
With the nearest neighbours (Å) after each atom.
Fractional positions:
Cl: 0.7722 0.6823 0.8555  2 Mg 2.55-2.64
Cl: 0.7044 0.6266 0.2910  1 Mg 2.47
Cl: 0.2278 0.3177 0.1445  2 Mg 2.55-2.64
Cl: 0.2722 0.8177 0.1445  2 Mg 2.55-2.64
Cl: 0.7956 0.1266 0.2910  1 Mg 2.47
Cl: 0.7278 0.1823 0.8555  2 Mg 2.55-2.64
Cl: 0.2956 0.3734 0.7090  1 Mg 2.47
Cl: 0.2044 0.8734 0.7090  1 Mg 2.47
Mg: 0.0000 0.0000 0.0000  6 Cl 2.47-2.64
Mg: 0.5000 0.5000 0.0000  6 Cl 2.47-2.64
Ce: 0.5000 0.0000 0.5000  6 Cl 2.82-2.97
Ce: 0.0000 0.5000 0.5000  6 Cl 2.82-2.97

Number 1: formation energy (no corrections) -2.000 eV/atom. Number 2: formation energy (no corrections) -1.785 eV/atom.